(A)
Compound: PuIn2Ga
Source: Alexandria via LeMat-Bulk
Functional: GGA-PBE
Structure: optimized geometry

Properties
The value obtained for the total magnetization is 1.570 μB/atom.

a = 3.2785 Å, b = 3.2785 Å, c = 11.4294 Å
α = 81.75°, β = 81.75°, γ = 60.00°
Last column: nearest neighbours and their distance in Å.
Positions (direct):
In 0.0949 0.0949 0.7154  3 Ga 3.08, 1 Pu 3.21, 6 In 3.28
In 0.9051 0.9051 0.2846  3 Ga 3.08, 1 Pu 3.21, 6 In 3.28
Ga 0.5000 0.5000 0.5000  6 In 3.08, 6 Ga 3.28
Pu 0.0000 0.0000 0.0000  2 In 3.21, 6 Pu 3.28

=====

(B)
Compound: PuIn2Ga
Source: Alexandria via LeMat-Bulk
Functional: GGA-PBE
Structure: optimized geometry

Properties
The value obtained for the total magnetization is 1.509 μB/atom.

a = 3.1740 Å, b = 3.1740 Å, c = 9.6325 Å
α = 90.00°, β = 90.00°, γ = 90.00°
Last column: nearest neighbours and their distance in Å.
Positions (direct):
In 0.0000 0.0000 0.7612  4 In 3.17, 4 Ga 3.21, 4 Pu 3.37
In 0.0000 0.0000 0.2388  4 In 3.17, 4 Ga 3.21, 4 Pu 3.37
Ga 0.5000 0.5000 0.0000  4 Ga 3.17, 8 In 3.21
Pu 0.5000 0.5000 0.5000  4 Pu 3.17, 8 In 3.37

=====

Least stable: (A)

=====

(A)
Compound: Rb2InGa
Source: Alexandria via LeMat-Bulk
Functional: GGA-PBE
Structure: optimized geometry

Properties
The value obtained for the total magnetization is 0.000 μB/atom.

a = 6.1730 Å, b = 6.1730 Å, c = 6.1730 Å
α = 60.00°, β = 60.00°, γ = 60.00°
Last column: nearest neighbours and their distance in Å.
Positions (direct):
Ga 0.0000 0.0000 0.0000  8 Rb 3.78
Rb 0.2500 0.2500 0.2500  4 In 3.78, 4 Ga 3.78
Rb 0.7500 0.7500 0.7500  4 Ga 3.78, 4 In 3.78
In 0.5000 0.5000 0.5000  8 Rb 3.78

=====

(B)
Compound: Rb2InGa
Source: Alexandria via LeMat-Bulk
Functional: GGA-PBE
Structure: optimized geometry

Properties
The value obtained for the total magnetization is 0.000 μB/atom.

a = 13.5155 Å, b = 13.5155 Å, c = 9.9192 Å
α = 47.06°, β = 47.06°, γ = 90.00°
Last column: nearest neighbours and their distance in Å.
Positions (direct):
Ga 0.5000 0.5000 0.0000  2 In 2.66
Ga 0.2500 0.7500 0.5000  2 In 2.66
Rb 0.4454 0.1250 0.2500  2 Ga 3.57
Rb 0.3046 0.6250 0.2500  2 Ga 3.57
Rb 0.3750 0.5546 0.7500  2 Ga 3.57
Rb 0.8750 0.6954 0.7500  2 Ga 3.57
In 0.0000 0.0000 0.0000  2 Ga 2.66
In 0.7500 0.2500 0.5000  2 Ga 2.66

=====

Least stable: (A)